Entry 1:
Entry from Alexandria via LeMat-Bulk: a relaxed CsCa2Pd crystal (GGA-PBE).

The structure in CIF format:
```
data_CsCa2Pd
_space_group_name_H-M_alt 'F m -3 m'
_space_group_IT_number 225
_space_group_name_Hall '-F 4 2 3'
_cell_length_a 8.0499
_cell_length_b 8.0499
_cell_length_c 8.0499
_cell_angle_alpha 90.00
_cell_angle_beta 90.00
_cell_angle_gamma 90.00
loop_
_atom_site_label
_atom_site_type_symbol
_atom_site_fract_x
_atom_site_fract_y
_atom_site_fract_z
Cs1 Cs 0.0000 0.0000 0.0000
Ca1 Ca 0.2500 0.2500 0.2500
Pd1 Pd 0.0000 0.0000 0.5000
```

Computed properties:
VASP energy (eV per cell): -37.60
Total magnetic moment (μB/f.u.): 0.0

Entry 2:
Entry from Alexandria via LeMat-Bulk: a relaxed NbBH3 crystal (GGA-PBE).

The structure in CIF format:
```
data_NbBH3
_space_group_name_H-M_alt 'P m -3 m'
_space_group_IT_number 221
_space_group_name_Hall '-P 4 2 3'
_cell_length_a 3.5078
_cell_length_b 3.5078
_cell_length_c 3.5078
_cell_angle_alpha 90.00
_cell_angle_beta 90.00
_cell_angle_gamma 90.00
loop_
_atom_site_label
_atom_site_type_symbol
_atom_site_fract_x
_atom_site_fract_y
_atom_site_fract_z
Nb1 Nb 0.0000 0.0000 0.0000
B1 B 0.5000 0.5000 0.5000
H1 H 0.0000 0.0000 0.5000
```

Computed properties:
VASP energy (eV per cell): -21.99
Total magnetic moment (μB/f.u.): 0.0

Entry 3:
Entry from Alexandria via LeMat-Bulk: a relaxed BeCd2SeN crystal (GGA-PBE).

The structure in CIF format:
```
data_BeCd2SeN
_space_group_name_H-M_alt 'P 4/m m m'
_space_group_IT_number 123
_space_group_name_Hall '-P 4 2'
_cell_length_a 5.3776
_cell_length_b 5.3776
_cell_length_c 3.9304
_cell_angle_alpha 90.00
_cell_angle_beta 90.00
_cell_angle_gamma 90.00
loop_
_atom_site_label
_atom_site_type_symbol
_atom_site_fract_x
_atom_site_fract_y
_atom_site_fract_z
Be1 Be 0.0000 0.0000 0.0000
Cd1 Cd 0.0000 0.5000 0.5000
Se1 Se 0.0000 0.0000 0.5000
N1 N 0.5000 0.5000 0.0000
```

Computed properties:
Raw formation energy (eV per atom): 1.464
Total magnetic moment (μB/f.u.): 0.0

Entry 4:
Entry from Alexandria via LeMat-Bulk: a relaxed TbAl12Pd4 crystal (GGA-PBE).

The structure in CIF format:
```
data_TbAl12Pd4
_space_group_name_H-M_alt 'I m -3'
_space_group_IT_number 204
_space_group_name_Hall '-I 2 2 3'
_cell_length_a 8.7631
_cell_length_b 8.7631
_cell_length_c 8.7631
_cell_angle_alpha 90.00
_cell_angle_beta 90.00
_cell_angle_gamma 90.00
loop_
_atom_site_label
_atom_site_type_symbol
_atom_site_fract_x
_atom_site_fract_y
_atom_site_fract_z
Tb1 Tb 0.0000 0.0000 0.0000
Al1 Al 0.0000 0.3419 0.1568
Pd1 Pd 0.2500 0.2500 0.2500
```

Computed properties:
VASP energy (eV per cell): -147.09
Total magnetic moment (μB/f.u.): 0.0

Entry 5:
Entry from Alexandria via LeMat-Bulk: a relaxed KNiIr4 crystal (GGA-PBE).

The structure in CIF format:
```
data_KNiIr4
_space_group_name_H-M_alt 'F -4 3 m'
_space_group_IT_number 216
_space_group_name_Hall 'F -4 2 3'
_cell_length_a 7.4832
_cell_length_b 7.4832
_cell_length_c 7.4832
_cell_angle_alpha 90.00
_cell_angle_beta 90.00
_cell_angle_gamma 90.00
loop_
_atom_site_label
_atom_site_type_symbol
_atom_site_fract_x
_atom_site_fract_y
_atom_site_fract_z
K1 K 0.0000 0.0000 0.0000
Ni1 Ni 0.2500 0.2500 0.7500
Ir1 Ir 0.1244 0.1244 0.3756
```

Computed properties:
VASP energy (eV per cell): -150.73
Total magnetic moment (μB/f.u.): 4.1

Entry 6:
Entry from Alexandria via LeMat-Bulk: a relaxed Zn11Cd crystal (GGA-PBE).

The structure in CIF format:
```
data_Zn11Cd
_space_group_name_H-M_alt 'I 41/a m d'
_space_group_IT_number 141
_cell_length_a 10.8276
_cell_length_b 10.8276
_cell_length_c 6.7545
_cell_angle_alpha 90.00
_cell_angle_beta 90.00
_cell_angle_gamma 90.00
loop_
_space_group_symop_operation_xyz
'x,y,z'
'-x,-y,-z'
'-y+1/4,x+3/4,z+1/4'
'y+1/4,-x+3/4,-z+1/4'
'-x+1/2,-y,z+1/2'
'x+1/2,y,-z+1/2'
'y+1/4,-x+1/4,z+3/4'
'-y+1/4,x+1/4,-z+3/4'
'x,-y,-z'
'-x,y,z'
'-y+1/4,-x+1/4,-z+3/4'
'y+1/4,x+1/4,z+3/4'
'-x+1/2,y,-z+1/2'
'x+1/2,-y,z+1/2'
'y+1/4,x+3/4,-z+1/4'
'-y+1/4,-x+3/4,z+1/4'
'x+1/2,y+1/2,z+1/2'
'-x+1/2,-y+1/2,-z+1/2'
'-y+3/4,x+1/4,z+3/4'
'y+3/4,-x+1/4,-z+3/4'
'-x,-y+1/2,z'
'x,y+1/2,-z'
'y+3/4,-x+3/4,z+1/4'
'-y+3/4,x+3/4,-z+1/4'
'x+1/2,-y+1/2,-z+1/2'
'-x+1/2,y+1/2,z+1/2'
'-y+3/4,-x+3/4,-z+1/4'
'y+3/4,x+3/4,z+1/4'
'-x,y+1/2,-z'
'x,-y+1/2,z'
'y+3/4,x+1/4,-z+3/4'
'-y+3/4,-x+1/4,z+3/4'
loop_
_atom_site_label
_atom_site_type_symbol
_atom_site_fract_x
_atom_site_fract_y
_atom_site_fract_z
Zn1 Zn 0.0000 0.0000 0.0000
Zn2 Zn 0.0000 0.2500 0.8750
Zn3 Zn 0.1213 0.0464 0.6775
Cd1 Cd 0.0000 0.2500 0.3750
```

Computed properties:
VASP energy (eV per cell): -56.80
Total magnetic moment (μB/f.u.): 0.0

Entry 7:
Entry from Alexandria via LeMat-Bulk: a relaxed AlSbH crystal (GGA-PBE).

The structure in CIF format:
```
data_AlSbH
_space_group_name_H-M_alt 'I 4 m m'
_space_group_IT_number 107
_space_group_name_Hall 'I 4 -2'
_cell_length_a 4.0417
_cell_length_b 4.0417
_cell_length_c 6.6643
_cell_angle_alpha 90.00
_cell_angle_beta 90.00
_cell_angle_gamma 90.00
loop_
_atom_site_label
_atom_site_type_symbol
_atom_site_fract_x
_atom_site_fract_y
_atom_site_fract_z
Al1 Al 0.0000 0.0000 0.0000
Sb1 Sb 0.0000 0.0000 0.4355
H1 H 0.0000 0.0000 0.7411
```

Computed properties:
VASP energy (eV per cell): -20.88
Total magnetic moment (μB/f.u.): 0.0

Entry 8:
Entry from Alexandria via LeMat-Bulk: a relaxed Pu2ScMnSe5 crystal (GGA-PBE).

The structure in CIF format:
```
data_Pu2ScMnSe5
_space_group_name_H-M_alt 'C m c 21'
_space_group_IT_number 36
_cell_length_a 3.9707
_cell_length_b 16.8840
_cell_length_c 12.3690
_cell_angle_alpha 90.00
_cell_angle_beta 90.00
_cell_angle_gamma 90.00
loop_
_space_group_symop_operation_xyz
'x,y,z'
'-x,-y,z+1/2'
'-x,y,z'
'x,-y,z+1/2'
'x+1/2,y+1/2,z'
'-x+1/2,-y+1/2,z+1/2'
'-x+1/2,y+1/2,z'
'x+1/2,-y+1/2,z+1/2'
loop_
_atom_site_label
_atom_site_type_symbol
_atom_site_fract_x
_atom_site_fract_y
_atom_site_fract_z
Pu1 Pu 0.0000 0.1158 0.0000
Pu2 Pu 0.0000 0.1226 0.3498
Sc1 Sc 0.0000 0.1883 0.6841
Mn1 Mn 0.0000 0.4427 0.0774
Se1 Se 0.0000 0.0225 0.6805
Se2 Se 0.0000 0.3033 0.0220
Se3 Se 0.0000 0.3049 0.3347
Se4 Se 0.0000 0.3464 0.6743
Se5 Se 0.0000 0.4971 0.4032
```

Computed properties:
Raw formation energy (eV per atom): -1.276
Total magnetic moment (μB/f.u.): 4.3

Entry 9:
Entry from Alexandria via LeMat-Bulk: a relaxed SrTlCdAu2 crystal (GGA-PBE).

The structure in CIF format:
```
data_SrTlCdAu2
_space_group_name_H-M_alt 'P 4/m m m'
_space_group_IT_number 123
_space_group_name_Hall '-P 4 2'
_cell_length_a 5.3321
_cell_length_b 5.3321
_cell_length_c 6.2609
_cell_angle_alpha 90.00
_cell_angle_beta 90.00
_cell_angle_gamma 90.00
loop_
_atom_site_label
_atom_site_type_symbol
_atom_site_fract_x
_atom_site_fract_y
_atom_site_fract_z
Sr1 Sr 0.0000 0.0000 0.0000
Tl1 Tl 0.0000 0.0000 0.5000
Cd1 Cd 0.5000 0.5000 0.0000
Au1 Au 0.0000 0.5000 0.5000
```

Computed properties:
VASP energy (eV per cell): -10.40
Total magnetic moment (μB/f.u.): 0.0

Entry 10:
Entry from Alexandria via LeMat-Bulk: a relaxed PmNd3Ni2 crystal (GGA-PBE).

The structure in CIF format:
```
data_PmNd3Ni2
_space_group_name_H-M_alt 'C 1 2/m 1'
_space_group_IT_number 12
_cell_length_a 16.7083
_cell_length_b 4.1563
_cell_length_c 11.8343
_cell_angle_alpha 90.00
_cell_angle_beta 122.24
_cell_angle_gamma 90.00
loop_
_space_group_symop_operation_xyz
'x,y,z'
'-x,-y,-z'
'-x,y,-z'
'x,-y,z'
'x+1/2,y+1/2,z'
'-x+1/2,-y+1/2,-z'
'-x+1/2,y+1/2,-z'
'x+1/2,-y+1/2,z'
loop_
_atom_site_label
_atom_site_type_symbol
_atom_site_fract_x
_atom_site_fract_y
_atom_site_fract_z
Pm1 Pm 0.0615 0.0000 0.1882
Nd1 Nd 0.0617 0.5000 0.6878
Nd2 Nd 0.1874 0.5000 0.0624
Nd3 Nd 0.1880 0.0000 0.5623
Ni1 Ni 0.1249 0.0000 0.8750
Ni2 Ni 0.1250 0.5000 0.3740
```

Computed properties:
VASP energy (eV per cell): -125.42
Total magnetic moment (μB/f.u.): 0.0

Entry 11:
Entry from Alexandria via LeMat-Bulk: a relaxed Ac2Mg16Bi crystal (GGA-PBE).

The structure in CIF format:
```
data_Ac2Mg16Bi
_space_group_name_H-M_alt 'R 3 m'
_space_group_IT_number 160
_space_group_name_Hall 'R 3 -2"'
_cell_length_a 10.5458
_cell_length_b 10.5458
_cell_length_c 15.2865
_cell_angle_alpha 90.00
_cell_angle_beta 90.00
_cell_angle_gamma 120.00
loop_
_atom_site_label
_atom_site_type_symbol
_atom_site_fract_x
_atom_site_fract_y
_atom_site_fract_z
Ac1 Ac 0.0000 0.0000 0.0000
Ac2 Ac 0.0000 0.0000 0.3341
Mg1 Mg 0.0000 0.0000 0.5695
Mg2 Mg 0.9996 0.3055 0.6656
Mg3 Mg 0.0038 0.5019 0.8216
Mg4 Mg 0.0069 0.5034 0.1658
Mg5 Mg 0.1728 0.3457 0.8443
Bi1 Bi 0.0000 0.0000 0.7673
```

Computed properties:
VASP energy (eV per cell): -119.26
Total magnetic moment (μB/f.u.): 0.0